CsK14Sr: optimized geometry, PBE.

- ΔE_f: 0.03 eV/atom

POSCAR file:
```
CsK14Sr
1.0
15.1832 0.0000 0.0000
0.0000 4.9402 7.7683
0.0000 -4.9402 7.7683
Cs K Sr
1 14 1
Direct
0.0000 0.0000 0.0000
0.0000 0.5000 0.9976
0.0000 0.9976 0.5000
0.2434 0.2908 0.2908
0.2493 0.7823 0.7823
0.2539 0.2922 0.7817
0.2539 0.7817 0.2922
0.5000 0.0871 0.5857
0.5000 0.0884 0.0884
0.5000 0.5857 0.0871
0.5000 0.5875 0.5875
0.7461 0.2922 0.7817
0.7461 0.7817 0.2922
0.7507 0.7823 0.7823
0.7566 0.2908 0.2908
0.0000 0.4997 0.4997
```

=====

KHfRhC2: optimized geometry, PBE.

- ΔE_f: 3.13 eV/atom

POSCAR file:
```
KHfRhC2
1.0
4.3067 0.0000 0.0000
0.0000 4.3067 0.0000
0.0000 0.0000 4.5919
K Hf Rh C
1 1 1 2
Direct
0.0000 0.0000 0.0000
0.5000 0.5000 0.5000
0.0000 0.0000 0.5000
0.0000 0.5000 0.0000
0.5000 0.0000 0.0000
```

=====

Rb2MgPbF6: optimized geometry, PBE.

- Formation energy without anion corrections: -2813 meV/atom
- Energy above the lowest structure with this stoichiometry: 0.074 eV/atom

POSCAR file:
```
Rb2MgPbF6
1.0
4.6185 0.0000 0.0000
0.0000 4.6185 0.0000
0.0000 0.0000 8.8680
Rb Mg Pb F
2 1 1 6
Direct
0.0000 0.0000 0.2233
0.0000 0.0000 0.7767
0.5000 0.5000 0.0000
0.5000 0.5000 0.5000
0.0000 0.5000 0.0000
0.0000 0.5000 0.5000
0.5000 0.0000 0.0000
0.5000 0.0000 0.5000
0.5000 0.5000 0.2159
0.5000 0.5000 0.7841
```

=====

Here are the calculated total DFT energy (no corrections) numbers, same order: -17.396; -21.223; -46.594 (eV per cell).